(1)
A relaxed structure of Pa2NbSn, computed with PBE-GGA.

Summary:
Excess energy over the best structure of this formula in the dataset, meV per atom: 0.0
Magnetization, μB per formula unit: 0.0

a = 4.740 Å, b = 4.385 Å, c = 4.385 Å
α = 90.00°, β = 90.00°, γ = 90.00°
Atoms (fractional coordinates):
Nb 0.500 0.500 0.500
Pa 0.000 0.000 0.500
Pa 0.000 0.500 0.000
Sn 0.500 0.000 0.000

(2)
A relaxed structure of PaNbTcSn, computed with PBE-GGA.

Summary:
Raw total energy, eV per atom: -8.56
Magnetization, μB per formula unit: 0.0

a = 4.807 Å, b = 4.807 Å, c = 4.807 Å
α = 60.00°, β = 60.00°, γ = 60.00°
Atoms (fractional coordinates):
Nb 0.000 0.000 0.000
Pa 0.750 0.750 0.750
Sn 0.250 0.250 0.250
Tc 0.500 0.500 0.500

(3)
A relaxed structure of ThPaNbSn, computed with PBE-GGA.

Summary:
Raw total energy, eV per atom: -7.62
Magnetization, μB per formula unit: 0.0

a = 5.262 Å, b = 5.262 Å, c = 5.262 Å
α = 60.00°, β = 60.00°, γ = 60.00°
Atoms (fractional coordinates):
Nb 0.250 0.250 0.250
Pa 0.000 0.000 0.000
Sn 0.750 0.750 0.750
Th 0.500 0.500 0.500

(4)
A relaxed structure of PaTiNbSn, computed with PBE-GGA.

Summary:
Raw total energy, eV per atom: -7.77
Magnetization, μB per formula unit: 0.4

a = 4.950 Å, b = 4.950 Å, c = 4.950 Å
α = 60.00°, β = 60.00°, γ = 60.00°
Atoms (fractional coordinates):
Nb 0.750 0.750 0.750
Pa 0.500 0.500 0.500
Sn 0.250 0.250 0.250
Ti 0.000 0.000 0.000

(5)
A relaxed structure of ZrPaNbSn, computed with PBE-GGA.

Summary:
Raw total energy, eV per atom: -8.00
Magnetization, μB per formula unit: 0.0

a = 5.063 Å, b = 5.063 Å, c = 5.063 Å
α = 60.00°, β = 60.00°, γ = 60.00°
Atoms (fractional coordinates):
Nb 0.250 0.250 0.250
Pa 0.000 0.000 0.000
Sn 0.750 0.750 0.750
Zr 0.500 0.500 0.500

(6)
A relaxed structure of PaTaNb, computed with PBE-GGA.

Summary:
Excess energy over the best structure of this formula in the dataset, meV per atom: 73.5
Magnetization, μB per formula unit: 0.0

a = 3.441 Å, b = 3.441 Å, c = 5.710 Å
α = 107.54°, β = 107.54°, γ = 90.00°
Atoms (fractional coordinates):
Nb 0.284 0.284 0.569
Pa 0.621 0.621 0.242
Ta 0.945 0.945 0.889

(7)
A relaxed structure of PaTa2Nb6, computed with PBE-GGA.

Summary:
Raw total energy, eV per atom: -10.25
Magnetization, μB per formula unit: 0.0

a = 2.869 Å, b = 8.285 Å, c = 8.443 Å
α = 119.38°, β = 84.16°, γ = 90.00°
Atoms (fractional coordinates):
Pa 0.000 0.000 0.000
Ta 0.996 0.335 0.670
Ta 0.004 0.665 0.330
Nb 0.683 0.998 0.346
Nb 0.317 0.002 0.654
Nb 0.317 0.653 0.654
Nb 0.500 0.333 0.000
Nb 0.500 0.667 0.000
Nb 0.683 0.347 0.346

(8)
A relaxed structure of PaTa2Nb, computed with PBE-GGA.

Summary:
Excess energy over the best structure of this formula in the dataset, meV per atom: 50.0
Magnetization, μB per formula unit: 0.0

a = 3.410 Å, b = 3.410 Å, c = 6.835 Å
α = 90.00°, β = 90.00°, γ = 90.00°
Atoms (fractional coordinates):
Nb 0.500 0.500 0.000
Pa 0.500 0.500 0.500
Ta 0.000 0.000 0.762
Ta 0.000 0.000 0.238

(9)
A relaxed structure of PaTaNb2, computed with PBE-GGA.

Summary:
Excess energy over the best structure of this formula in the dataset, meV per atom: 0.0
Magnetization, μB per formula unit: 0.0

a = 4.816 Å, b = 4.816 Å, c = 4.816 Å
α = 60.00°, β = 60.00°, γ = 60.00°
Atoms (fractional coordinates):
Nb 0.250 0.250 0.250
Nb 0.750 0.750 0.750
Pa 0.000 0.000 0.000
Ta 0.500 0.500 0.500

(10)
A relaxed structure of PaTaNb14, computed with PBE-GGA.

Summary:
Raw total energy, eV per atom: -10.15
Magnetization, μB per formula unit: 0.0

a = 5.781 Å, b = 5.781 Å, c = 9.433 Å
α = 90.00°, β = 90.00°, γ = 109.39°
Atoms (fractional coordinates):
Pa 0.125 0.875 0.500
Ta 0.625 0.375 0.500
Nb 0.125 0.875 0.000
Nb 0.625 0.375 0.000
Nb 0.125 0.375 0.500
Nb 0.125 0.375 0.000
Nb 0.625 0.875 0.500
Nb 0.625 0.875 0.000
Nb 0.371 0.121 0.751
Nb 0.371 0.121 0.249
Nb 0.879 0.629 0.751
Nb 0.879 0.629 0.249
Nb 0.380 0.620 0.754
Nb 0.380 0.620 0.246
Nb 0.870 0.130 0.754
Nb 0.870 0.130 0.246

(11)
A relaxed structure of PaTa2Nb, computed with PBE-GGA.

Summary:
Excess energy over the best structure of this formula in the dataset, meV per atom: 109.7
Magnetization, μB per formula unit: 0.0

a = 3.355 Å, b = 4.871 Å, c = 4.871 Å
α = 90.00°, β = 90.00°, γ = 90.00°
Atoms (fractional coordinates):
Nb 0.500 0.500 0.500
Pa 0.500 0.000 0.000
Ta 0.000 0.000 0.500
Ta 0.000 0.500 0.000

(12)
A relaxed structure of PaTaNb2, computed with PBE-GGA.

Summary:
Excess energy over the best structure of this formula in the dataset, meV per atom: 70.9
Magnetization, μB per formula unit: 0.0

a = 3.398 Å, b = 3.398 Å, c = 6.823 Å
α = 90.00°, β = 90.00°, γ = 90.00°
Atoms (fractional coordinates):
Nb 0.000 0.000 0.755
Nb 0.000 0.000 0.245
Pa 0.500 0.500 0.500
Ta 0.500 0.500 0.000

What is the formula in the third record? ThPaNbSn

What is the magnetization in the eleventh record? 0.0 μB per formula unit

What is the magnetization in the second record? 0.0 μB per formula unit